[1]
Entry from the Alexandria database: crystalline CeSmDy2 at its relaxed geometry (GGA-PBE).

Results
Space-group type   R-3m
E_form   0.187 eV/atom
VASP energy   -4.78 eV per atom
Theoretical density   8.15 g cm⁻³
Distance to the lowest polymorph of the same formula   0.55 eV per formula unit

Cell lengths 3.4206, 3.4206, 12.5316 Å; angles 82.16, 82.16, 60.00 degrees
Last column: nearest neighbours and their distance in Å.
Fractional positions:
Dy  0.0879  0.0879  0.7363  1 Ce 3.26, 6 Dy 3.42, 3 Sm 3.53
Dy  0.9121  0.9121  0.2637  1 Ce 3.26, 6 Dy 3.42, 3 Sm 3.53
Sm  0.5000  0.5000  0.5000  6 Sm 3.42, 6 Dy 3.53
Ce  0.0000  0.0000  0.0000  2 Dy 3.26, 6 Ce 3.42

[2]
Entry from the Alexandria database: crystalline CeSm10Dy4 at its relaxed geometry (GGA-PBE).

Results
Space-group type   I4/m
E_form   0.334 eV/atom
VASP energy   -4.44 eV per atom
Theoretical density   7.51 g cm⁻³

Cell lengths 10.6524, 8.7150, 8.7150 Å; angles 68.07, 52.33, 52.33 degrees
Last column: nearest neighbours and their distance in Å.
Fractional positions:
Sm  0.4445  0.0964  0.3281  5 Sm 3.18-3.37
Sm  0.2500  0.5000  0.5000  4 Dy 3.18, 4 Sm 3.18
Sm  0.2274  0.3281  0.9036  5 Sm 3.18-3.37
Sm  0.1310  0.0964  0.3281  5 Sm 3.18-3.37
Sm  0.4591  0.6719  0.0964  5 Sm 3.18-3.37
Sm  0.8690  0.9036  0.6719  5 Sm 3.18-3.37
Sm  0.5555  0.9036  0.6719  5 Sm 3.18-3.37
Sm  0.7500  0.5000  0.5000  4 Dy 3.18, 4 Sm 3.18
Sm  0.5409  0.3281  0.9036  5 Sm 3.18-3.37
Sm  0.7726  0.6719  0.0964  5 Sm 3.18-3.37
Dy  0.0607  0.6077  0.2709  2 Sm 3.18, 1 Ce 3.29, 1 Dy 3.49
Dy  0.9393  0.3923  0.7291  2 Sm 3.18, 1 Ce 3.29, 1 Dy 3.49
Dy  0.3316  0.7291  0.6077  2 Sm 3.18, 1 Ce 3.29, 1 Dy 3.49
Dy  0.6684  0.2709  0.3923  2 Sm 3.18, 1 Ce 3.29, 1 Dy 3.49
Ce  0.0000  0.0000  0.0000  4 Dy 3.29

[3]
Entry from the Alexandria database: crystalline CeSm4Dy5 at its relaxed geometry (GGA-PBE).

Results
Space-group type   C2/m
E_form   0.035 eV/atom
VASP energy   -4.75 eV per atom
Theoretical density   8.00 g cm⁻³

Cell lengths 3.5762, 7.1355, 12.8936 Å; angles 97.89, 97.97, 90.00 degrees
Last column: nearest neighbours and their distance in Å.
Fractional positions:
Dy  0.9016  0.1985  0.8032  2 Ce 3.54, 4 Sm 3.54-3.61, 6 Dy 3.56-3.60
Dy  0.0984  0.8015  0.1968  2 Ce 3.54, 4 Sm 3.54-3.61, 6 Dy 3.56-3.60
Dy  0.6995  0.5995  0.3990  6 Sm 3.55-3.60, 6 Dy 3.58-3.60
Dy  0.3005  0.4005  0.6010  6 Sm 3.55-3.60, 6 Dy 3.58-3.60
Dy  0.5000  0.5000  0.0000  4 Sm 3.54, 6 Dy 3.56-3.58, 2 Ce 3.57
Ce  0.5000  0.0000  0.0000  6 Dy 3.54-3.57, 4 Sm 3.54, 2 Ce 3.58
Sm  0.2996  0.8981  0.5992  6 Dy 3.55-3.61, 6 Sm 3.57-3.60
Sm  0.7004  0.1019  0.4008  6 Dy 3.55-3.61, 6 Sm 3.57-3.60
Sm  0.0981  0.2980  0.1963  2 Ce 3.54, 6 Dy 3.54-3.60, 4 Sm 3.58-3.60
Sm  0.9019  0.7020  0.8037  2 Ce 3.54, 6 Dy 3.54-3.60, 4 Sm 3.58-3.60

[4]
Entry from the Alexandria database: crystalline Ce2SmDy at its relaxed geometry (GGA-PBE).

Results
Space-group type   R3m
E_form   0.103 eV/atom
VASP energy   -5.19 eV per atom
Theoretical density   8.00 g cm⁻³
Distance to the lowest polymorph of the same formula   0.00 eV per formula unit

Cell lengths 3.5004, 3.5004, 11.7725 Å; angles 81.45, 81.45, 60.00 degrees
Last column: nearest neighbours and their distance in Å.
Fractional positions:
Ce  0.2507  0.2507  0.2478  6 Ce 3.50, 3 Dy 3.55, 3 Sm 3.59
Ce  0.0827  0.0827  0.7519  3 Dy 3.48, 6 Ce 3.50, 3 Sm 3.51
Dy  0.6679  0.6679  0.9963  6 Ce 3.48-3.55, 6 Dy 3.50
Sm  0.4987  0.4987  0.5040  6 Sm 3.50, 6 Ce 3.51-3.59

[5]
Entry from the Alexandria database: crystalline Ce2Sm2Dy7 at its relaxed geometry (GGA-PBE).

Results
Space-group type   C2/m
E_form   0.201 eV/atom
VASP energy   -4.66 eV per atom
Theoretical density   8.00 g cm⁻³

Cell lengths 5.9999, 8.0335, 8.0335 Å; angles 92.32, 74.43, 74.43 degrees
Last column: nearest neighbours and their distance in Å.
Fractional positions:
Dy  0.8279  0.9346  0.4095  2 Dy 3.18-3.28, 2 Ce 3.24-3.45, 1 Sm 3.36
Dy  0.8279  0.4095  0.9346  2 Dy 3.18-3.28, 2 Ce 3.24-3.45, 1 Sm 3.36
Dy  0.8052  0.4084  0.4084  3 Sm 3.40-3.72, 6 Dy 3.43-3.77, 2 Ce 3.71
Dy  0.1721  0.0654  0.5905  2 Dy 3.18-3.28, 2 Ce 3.24-3.45, 1 Sm 3.36
Dy  0.0000  0.0000  0.0000  4 Dy 3.28, 2 Sm 3.47
Dy  0.1948  0.5916  0.5916  3 Sm 3.40-3.72, 6 Dy 3.43-3.77, 2 Ce 3.71
Dy  0.1721  0.5905  0.0654  2 Dy 3.18-3.28, 2 Ce 3.24-3.45, 1 Sm 3.36
Sm  0.5886  0.7704  0.7704  8 Dy 3.36-3.72, 2 Ce 3.47
Sm  0.4114  0.2296  0.2296  8 Dy 3.36-3.72, 2 Ce 3.47
Ce  0.5000  0.2158  0.7842  4 Dy 3.24-3.45, 2 Sm 3.47
Ce  0.5000  0.7842  0.2158  4 Dy 3.24-3.45, 2 Sm 3.47

[6]
Entry from the Alexandria database: crystalline CeSm6Dy8 at its relaxed geometry (GGA-PBE).

Results
Space-group type   R-3
E_form   0.127 eV/atom
VASP energy   -4.61 eV per atom
Theoretical density   7.90 g cm⁻³

Cell lengths 8.6681, 8.6681, 8.6681 Å; angles 63.10, 63.10, 63.10 degrees
Last column: nearest neighbours and their distance in Å.
Fractional positions:
Dy  0.4230  0.4230  0.4230  4 Dy 3.19-3.42, 3 Sm 3.41
Dy  0.5770  0.5770  0.5770  4 Dy 3.19-3.42, 3 Sm 3.41
Dy  0.1123  0.7170  0.7516  3 Sm 3.39-3.68, 5 Dy 3.42-3.45, 1 Ce 3.51
Dy  0.7170  0.7516  0.1123  3 Sm 3.39-3.68, 5 Dy 3.42-3.45, 1 Ce 3.51
Dy  0.2830  0.2484  0.8877  3 Sm 3.39-3.68, 5 Dy 3.42-3.45, 1 Ce 3.51
Dy  0.8877  0.2830  0.2484  3 Sm 3.39-3.68, 5 Dy 3.42-3.45, 1 Ce 3.51
Dy  0.7516  0.1123  0.7170  3 Sm 3.39-3.68, 5 Dy 3.42-3.45, 1 Ce 3.51
Dy  0.2484  0.8877  0.2830  3 Sm 3.39-3.68, 5 Dy 3.42-3.45, 1 Ce 3.51
Sm  0.4603  0.7718  0.8952  4 Dy 3.39-3.68, 1 Ce 3.44, 4 Sm 3.52-3.77
Sm  0.5397  0.2282  0.1048  4 Dy 3.39-3.68, 1 Ce 3.44, 4 Sm 3.52-3.77
Sm  0.1048  0.5397  0.2282  4 Dy 3.39-3.68, 1 Ce 3.44, 4 Sm 3.52-3.77
Sm  0.2282  0.1048  0.5397  4 Dy 3.39-3.68, 1 Ce 3.44, 4 Sm 3.52-3.77
Sm  0.8952  0.4603  0.7718  4 Dy 3.39-3.68, 1 Ce 3.44, 4 Sm 3.52-3.77
Sm  0.7718  0.8952  0.4603  4 Dy 3.39-3.68, 1 Ce 3.44, 4 Sm 3.52-3.77
Ce  0.0000  0.0000  0.0000  6 Sm 3.44, 6 Dy 3.51

[7]
Entry from the Alexandria database: crystalline Ce2SmDy at its relaxed geometry (GGA-PBE).

Results
Space-group type   P4/mmm
E_form   0.111 eV/atom
VASP energy   -5.19 eV per atom
Theoretical density   7.99 g cm⁻³
Distance to the lowest polymorph of the same formula   0.03 eV per formula unit

Cell lengths 5.0877, 4.9235, 4.9235 Å; angles 90.00, 90.00, 90.00 degrees
Last column: nearest neighbours and their distance in Å.
Fractional positions:
Dy  0.5000  0.5000  0.5000  4 Sm 3.48, 8 Ce 3.54
Sm  0.5000  0.0000  0.0000  4 Dy 3.48, 8 Ce 3.54
Ce  0.0000  0.5000  0.0000  4 Ce 3.48, 4 Dy 3.54, 4 Sm 3.54
Ce  0.0000  0.0000  0.5000  4 Ce 3.48, 4 Dy 3.54, 4 Sm 3.54

[8]
Entry from the Alexandria database: crystalline CeSm12Dy2 at its relaxed geometry (GGA-PBE).

Results
Space-group type   Cmme
E_form   0.176 eV/atom
VASP energy   -4.61 eV per atom
Theoretical density   7.42 g cm⁻³

Cell lengths 6.7646, 6.7646, 24.8320 Å; angles 90.00, 90.00, 116.63 degrees
Last column: nearest neighbours and their distance in Å.
Fractional positions:
Sm  0.2671  0.7671  0.4145  7 Sm 3.30-3.64
Sm  0.7474  0.7526  0.0737  2 Ce 3.40-3.42, 9 Sm 3.55-3.66
Sm  0.5000  0.5000  0.1987  3 Sm 3.14-3.37
Sm  0.0000  0.0000  0.3251  3 Sm 3.14-3.36
Sm  0.2513  0.7513  0.8716  8 Sm 3.37-3.66, 2 Ce 3.62-3.68
Sm  0.2721  0.2279  0.5603  5 Sm 3.04-3.36
Sm  0.7329  0.2329  0.4145  7 Sm 3.30-3.64
Sm  0.7526  0.7474  0.9263  2 Ce 3.40-3.42, 9 Sm 3.55-3.66
Sm  0.7279  0.7721  0.5603  5 Sm 3.04-3.36
Sm  0.2526  0.2474  0.0737  2 Ce 3.40-3.42, 9 Sm 3.55-3.66
Sm  0.7721  0.7279  0.4397  5 Sm 3.04-3.36
Sm  0.5000  0.5000  0.3251  3 Sm 3.14-3.36
Sm  0.5000  0.5000  0.6749  3 Sm 3.14-3.36
Sm  0.2279  0.2721  0.4397  5 Sm 3.04-3.36
Sm  0.2487  0.7487  0.1284  8 Sm 3.37-3.66, 2 Ce 3.62-3.68
Sm  0.0000  0.0000  0.1987  3 Sm 3.14-3.37
Sm  0.7487  0.2487  0.8716  8 Sm 3.37-3.66, 2 Ce 3.62-3.68
Sm  0.0000  0.0000  0.6749  3 Sm 3.14-3.36
Sm  0.2329  0.7329  0.5855  7 Sm 3.30-3.64
Sm  0.7513  0.2513  0.1284  8 Sm 3.37-3.66, 2 Ce 3.62-3.68
Sm  0.0000  0.0000  0.8013  3 Sm 3.14-3.37
Sm  0.5000  0.5000  0.8013  3 Sm 3.14-3.37
Sm  0.7671  0.2671  0.5855  7 Sm 3.30-3.64
Sm  0.2474  0.2526  0.9263  2 Ce 3.40-3.42, 9 Sm 3.55-3.66
Dy  0.0000  0.5000  0.2702  2 Dy 3.55, 10 Sm 3.65-3.94
Dy  0.5000  0.0000  0.2659  2 Dy 3.55, 10 Sm 3.69-3.85
Dy  0.0000  0.5000  0.7341  2 Dy 3.55, 10 Sm 3.69-3.85
Dy  0.5000  0.0000  0.7298  2 Dy 3.55, 10 Sm 3.65-3.94
Ce  0.0000  0.5000  0.0010  8 Sm 3.40-3.68, 2 Ce 3.55
Ce  0.5000  0.0000  0.9990  8 Sm 3.40-3.68, 2 Ce 3.55

[9]
Entry from the Alexandria database: crystalline CeSmDy6 at its relaxed geometry (GGA-PBE).

Results
Space-group type   P-1
E_form   0.215 eV/atom
VASP energy   -4.57 eV per atom
Theoretical density   8.27 g cm⁻³
Distance to the lowest polymorph of the same formula   1.38 eV per formula unit

Cell lengths 6.5697, 6.5141, 7.4675 Å; angles 115.68, 64.90, 89.97 degrees
Last column: nearest neighbours and their distance in Å.
Fractional positions:
Dy  0.4993  0.2507  0.9999  6 Dy 3.25-3.48
Dy  0.5007  0.7493  0.0001  6 Dy 3.25-3.48
Dy  0.5594  0.7600  0.5201  6 Dy 3.30-3.48, 1 Ce 3.33, 1 Sm 3.57
Dy  0.9132  0.2684  0.5367  6 Dy 3.30-3.43, 1 Sm 3.38, 1 Ce 3.42
Dy  0.4406  0.2400  0.4799  6 Dy 3.30-3.48, 1 Ce 3.33, 1 Sm 3.57
Dy  0.0868  0.7316  0.4633  6 Dy 3.30-3.43, 1 Sm 3.38, 1 Ce 3.42
Sm  0.0000  0.0000  0.0000  2 Ce 3.26, 4 Dy 3.38-3.57
Ce  0.0000  0.5000  0.0000  2 Sm 3.26, 4 Dy 3.33-3.42

[10]
Entry from the Alexandria database: crystalline CeSmDy2 at its relaxed geometry (GGA-PBE).

Results
Space-group type   P4/mmm
E_form   0.060 eV/atom
VASP energy   -4.90 eV per atom
Theoretical density   8.11 g cm⁻³
Distance to the lowest polymorph of the same formula   0.05 eV per formula unit

Cell lengths 3.5465, 3.5465, 10.0198 Å; angles 90.00, 90.00, 90.00 degrees
Last column: nearest neighbours and their distance in Å.
Fractional positions:
Ce  0.5000  0.5000  0.0000  8 Dy 3.49, 4 Ce 3.55
Dy  0.0000  0.0000  0.2422  4 Ce 3.49, 4 Dy 3.55, 4 Sm 3.60
Dy  0.0000  0.0000  0.7578  4 Ce 3.49, 4 Dy 3.55, 4 Sm 3.60
Sm  0.5000  0.5000  0.5000  4 Sm 3.55, 8 Dy 3.60